Here is a geometry-optimized LiLa4Ti3O12 structure from Alexandria via LeMat-Bulk. Energies are from PBE.

Calculated values
V: 12.48 A^3/atom
Formation energy (no corrections): -3.2323 eV per atom

Lattice parameters (Å, degrees): 5.5768 5.6628 7.9007 90.27 90.13 90.31
With the nearest neighbours (Å) after each atom.
Fractional coordinates of all 20 atoms:
Li: 0.0000 0.0000 0.0000  6 O 2.12-2.15
La: 0.0102 0.4487 0.2381  7 O 2.37-2.65
La: 0.4932 0.9629 0.2398  4 O 2.37-2.58
La: 0.5068 0.0371 0.7602  4 O 2.37-2.58
La: 0.9898 0.5513 0.7619  7 O 2.37-2.65
Ti: 0.0000 0.0000 0.5000  6 O 1.94-2.06
Ti: 0.5000 0.5000 0.0000  6 O 1.95-2.04
Ti: 0.5000 0.5000 0.5000  6 O 2.02-2.03
O: 0.0844 0.9776 0.7374  1 Ti 1.94, 1 Li 2.13
O: 0.2153 0.6906 0.0403  1 Ti 1.95, 1 Li 2.15
O: 0.2196 0.7161 0.4531  2 Ti 2.03-2.06
O: 0.2830 0.2203 0.4557  2 Ti 2.02-2.04
O: 0.3080 0.2137 0.0401  1 Ti 1.97, 1 Li 2.12
O: 0.4213 0.4840 0.7485  2 Ti 2.02-2.04
O: 0.5787 0.5160 0.2515  2 Ti 2.02-2.04
O: 0.6920 0.7863 0.9599  1 Ti 1.97, 1 Li 2.12
O: 0.7170 0.7797 0.5443  2 Ti 2.02-2.04
O: 0.7804 0.2839 0.5469  2 Ti 2.03-2.06
O: 0.7847 0.3094 0.9597  1 Ti 1.95, 1 Li 2.15
O: 0.9156 0.0224 0.2626  1 Ti 1.94, 1 Li 2.13